(1)
! Ho2TmIn3Ag2Au (GGA-PBE, relaxed); values from VASP
! Volume in Å³ per cell: 206.17
! Raw total energy in eV/atom: -3.9263
! Crystal system: orthorhombic
&SYSTEM
  ibrav = 0, nat = 9, ntyp = 5
/
ATOMIC_SPECIES
Ag 107.87 Ag.upf
Au 196.97 Au.upf
Ho 164.93 Ho.upf
Tm 168.93 Tm.upf
In 114.82 In.upf
ATOMIC_POSITIONS angstrom
Ag -0.950 0.005 4.815
Au -0.001 -0.005 0.007
Ho -2.017 -5.530 3.439
Tm -0.327 -1.872 2.461
In -2.273 -2.560 5.000
Ag -3.212 -2.922 2.288
Ho 0.701 -2.012 6.476
In -0.869 1.444 2.303
In -2.690 -0.913 0.268
CELL_PARAMETERS angstrom
-3.340 1.789 0.917
-3.824 -6.772 -0.719
3.002 2.063 6.909

***

(2)
! Ga2AuO4 (GGA-PBE, relaxed); values from VASP
! Volume in Å³ per cell: 164.03
! Raw total energy in eV/atom: -5.2585
! Crystal system: cubic
&SYSTEM
  ibrav = 0, nat = 14, ntyp = 3
/
ATOMIC_SPECIES
O 16.00 O.upf
Ga 69.72 Ga.upf
Au 196.97 Au.upf
ATOMIC_POSITIONS angstrom
O 3.301 0.878 -3.000
O 2.866 2.269 -0.274
Ga -0.095 0.451 -3.573
Au -1.414 3.124 -1.549
Ga 2.007 2.135 -2.095
O -1.199 0.507 -5.261
O -1.715 1.445 -2.897
Ga 1.395 3.246 0.702
O 1.009 0.394 -1.884
Ga -2.643 1.781 -4.658
Au 0.000 0.000 0.000
O 0.713 3.392 -1.191
O 1.149 2.002 -3.917
O 1.526 -0.544 -4.248
CELL_PARAMETERS angstrom
-5.096 2.660 -2.170
4.204 3.369 2.954
1.224 -2.223 -5.596

***

(3)
! BaTaGe (GGA-PBE, relaxed); values from VASP
! Volume in Å³ per cell: 90.05
! Raw total energy in eV/atom: -5.2866
! Crystal system: cubic
&SYSTEM
  ibrav = 0, nat = 3, ntyp = 3
/
ATOMIC_SPECIES
Ta 180.95 Ta.upf
Ge 72.64 Ge.upf
Ba 137.33 Ba.upf
ATOMIC_POSITIONS angstrom
Ta -2.712 -4.531 -7.586
Ge 0.000 0.000 0.000
Ba -0.904 -1.510 -2.529
CELL_PARAMETERS angstrom
-1.706 -4.388 -1.774
-3.321 -0.065 -3.779
1.410 -1.588 -4.561

***

(4)
! YZrCuPb (GGA-PBE, relaxed); values from VASP
! Volume in Å³ per cell: 105.09
! Energy relative to the lowest polymorph listed for this composition in meV per atom: 0
! Raw total energy in eV/atom: -5.2716
! Crystal system: cubic
&SYSTEM
  ibrav = 0, nat = 4, ntyp = 4
/
ATOMIC_SPECIES
Y 88.91 Y.upf
Pb 207.20 Pb.upf
Zr 91.22 Zr.upf
Cu 63.55 Cu.upf
ATOMIC_POSITIONS angstrom
Y -1.382 -5.604 2.961
Pb 0.000 0.000 0.000
Zr -0.691 -2.802 1.481
Cu -2.073 -8.407 4.442
CELL_PARAMETERS angstrom
1.189 -3.131 4.104
-3.809 -2.812 2.376
-0.144 -5.266 -0.558

***

(5)
! DyPOsO (GGA-PBE, relaxed); values from VASP
! Volume in Å³ per cell: 129.66
! Energy relative to the lowest polymorph listed for this composition in meV per atom: 754
! Raw total energy in eV/atom: -7.6801
! Crystal system: orthorhombic
&SYSTEM
  ibrav = 0, nat = 8, ntyp = 4
/
ATOMIC_SPECIES
O 16.00 O.upf
P 30.97 P.upf
Os 190.23 Os.upf
Dy 162.50 Dy.upf
ATOMIC_POSITIONS angstrom
O -6.110 -0.686 -0.292
P -3.835 -1.999 2.670
Os -5.459 -0.738 1.723
P -6.108 -1.894 -3.884
Dy -6.859 -2.660 -1.000
Dy -3.109 -1.247 -0.191
Os -5.759 -0.205 -2.419
O -3.967 0.377 -1.449
CELL_PARAMETERS angstrom
-1.223 2.978 0.472
-4.829 -1.049 -5.903
-3.530 -1.963 3.237

***

(6)
! CdAgNO (GGA-PBE, relaxed); values from VASP
! Volume in Å³ per cell: 125.56
! Energy relative to the lowest polymorph listed for this composition in meV per atom: 157
! Raw total energy in eV/atom: -3.7388
! Crystal system: orthorhombic
&SYSTEM
  ibrav = 0, nat = 8, ntyp = 4
/
ATOMIC_SPECIES
N 14.01 N.upf
Cd 112.41 Cd.upf
Ag 107.87 Ag.upf
O 16.00 O.upf
ATOMIC_POSITIONS angstrom
N 2.185 -0.367 5.165
N 1.871 -3.043 2.922
Cd 1.269 -3.906 0.967
Ag 3.692 1.010 4.912
Ag 3.906 -3.318 3.054
Cd 1.464 -0.860 3.124
O 2.480 0.195 1.486
O 4.659 -2.973 5.095
CELL_PARAMETERS angstrom
3.156 0.708 -1.285
1.759 1.804 5.316
1.820 -5.702 1.332

***

> Look up the volume of the fifth one.

129.66 Å³ per cell